[1]
A plane-wave DFT calculation with GGA-PBE was carried out for a relaxed structure of SrLaOs4.

Results
Calculated volume = 19.37 Å³/atom
DOS at the Fermi energy = 10.62 states/eV/f.u.
ΔE_f = 202 meV/atom

a b c (Å): 5.478 5.478 5.478
angles (deg): 60.00 60.00 60.00
Sites, in units of the cell vectors:
Sr 0.000 0.000 0.000
La 0.750 0.750 0.750
Os 0.375 0.375 0.375
Os 0.375 0.375 0.875
Os 0.375 0.875 0.375
Os 0.875 0.375 0.375


[2]
A plane-wave DFT calculation with GGA-PBE was carried out for a relaxed structure of SrLaOs2.

Results
Excess energy over the best structure of this formula in the dataset = 311 meV per atom
Calculated volume = 25.93 Å³/atom
DOS at the Fermi energy = 3.52 states/eV/f.u.
ΔE_f = 364 meV/atom

a b c (Å): 3.047 3.881 8.885
angles (deg): 90.00 99.13 90.00
Sites, in units of the cell vectors:
Sr 0.000 0.000 0.000
La 0.829 0.500 0.591
Os 0.122 0.000 0.358
Os 0.565 0.500 0.263


[3]
A plane-wave DFT calculation with GGA-PBE was carried out for a relaxed structure of SrLaOs2.

Results
Excess energy over the best structure of this formula in the dataset = 796 meV per atom
Calculated volume = 21.05 Å³/atom
DOS at the Fermi energy = 3.04 states/eV/f.u.
ΔE_f = 849 meV/atom

a b c (Å): 5.674 5.674 3.075
angles (deg): 101.95 101.95 113.32
Sites, in units of the cell vectors:
Sr 0.000 0.000 0.000
La 0.500 0.500 0.000
Os 0.000 0.500 0.500
Os 0.500 0.000 0.500


[4]
A plane-wave DFT calculation with GGA-PBE was carried out for a relaxed structure of Sr2LaOs.

Results
Excess energy over the best structure of this formula in the dataset = 543 meV per atom
Calculated volume = 30.70 Å³/atom
DOS at the Fermi energy = 4.49 states/eV/f.u.
ΔE_f = 731 meV/atom

a b c (Å): 4.127 4.127 7.211
angles (deg): 90.00 90.00 90.00
Sites, in units of the cell vectors:
Sr 0.000 0.000 0.206
Sr 0.000 0.000 0.794
La 0.500 0.500 0.500
Os 0.500 0.500 0.000


[5]
A plane-wave DFT calculation with GGA-PBE was carried out for a relaxed structure of SrLaOs2.

Results
Excess energy over the best structure of this formula in the dataset = 764 meV per atom
Calculated volume = 29.68 Å³/atom
DOS at the Fermi energy = 3.12 states/eV/f.u.
ΔE_f = 817 meV/atom

a b c (Å): 10.319 10.319 10.319
angles (deg): 152.27 152.27 39.61
Sites, in units of the cell vectors:
Sr 0.000 0.000 0.000
Sr 0.750 0.250 0.500
La 0.250 0.750 0.500
La 0.500 0.500 0.000
Os 0.324 0.625 0.199
Os 0.375 0.574 0.699
Os 0.426 0.125 0.801
Os 0.875 0.676 0.301


[6]
A plane-wave DFT calculation with GGA-PBE was carried out for a relaxed structure of SrLaOs2.

Results
Excess energy over the best structure of this formula in the dataset = 534 meV per atom
Calculated volume = 23.39 Å³/atom
DOS at the Fermi energy = 2.86 states/eV/f.u.
ΔE_f = 587 meV/atom

a b c (Å): 3.115 4.618 6.619
angles (deg): 90.00 100.68 90.00
Sites, in units of the cell vectors:
Sr 0.000 0.000 0.000
La 0.500 0.000 0.500
Os 0.295 0.500 0.675
Os 0.705 0.500 0.325


[7]
A plane-wave DFT calculation with GGA-PBE was carried out for a relaxed structure of SrLaOs2.

Results
Excess energy over the best structure of this formula in the dataset = 376 meV per atom
Calculated volume = 26.78 Å³/atom
DOS at the Fermi energy = 4.50 states/eV/f.u.
ΔE_f = 429 meV/atom

a b c (Å): 3.463 3.463 8.966
angles (deg): 90.00 90.00 95.10
Sites, in units of the cell vectors:
Sr 0.000 0.000 0.000
La 0.500 0.500 0.595
Os 0.000 0.000 0.359
Os 0.500 0.500 0.265


[8]
A plane-wave DFT calculation with GGA-PBE was carried out for a relaxed structure of Sr2LaOs.

Results
Excess energy over the best structure of this formula in the dataset = 3 meV per atom
Calculated volume = 37.92 Å³/atom
DOS at the Fermi energy = 4.32 states/eV/f.u.
ΔE_f = 192 meV/atom

a b c (Å): 4.645 4.645 8.545
angles (deg): 105.70 105.70 60.00
Sites, in units of the cell vectors:
Sr 0.000 0.000 0.000
Sr 0.191 0.191 0.577
La 0.430 0.430 0.290
Os 0.764 0.764 0.292


[9]
A plane-wave DFT calculation with GGA-PBE was carried out for a relaxed structure of SrLaOs2.

Results
Excess energy over the best structure of this formula in the dataset = 746 meV per atom
Calculated volume = 22.36 Å³/atom
DOS at the Fermi energy = 7.97 states/eV/f.u.
ΔE_f = 799 meV/atom

a b c (Å): 4.645 4.645 4.146
angles (deg): 90.00 90.00 90.00
Sites, in units of the cell vectors:
Sr 0.000 0.000 0.000
La 0.500 0.500 0.000
Os 0.000 0.500 0.500
Os 0.500 0.000 0.500


[10]
A plane-wave DFT calculation with GGA-PBE was carried out for a relaxed structure of Sr2LaOs.

Results
Excess energy over the best structure of this formula in the dataset = 560 meV per atom
Calculated volume = 33.49 Å³/atom
DOS at the Fermi energy = 4.16 states/eV/f.u.
ΔE_f = 749 meV/atom

a b c (Å): 11.804 11.804 11.804
angles (deg): 17.79 17.79 17.79
Sites, in units of the cell vectors:
Sr 0.228 0.228 0.228
Sr 0.772 0.772 0.772
La 0.000 0.000 0.000
Os 0.500 0.500 0.500


[11]
A plane-wave DFT calculation with GGA-PBE was carried out for a relaxed structure of Sr2LaOs.

Results
Excess energy over the best structure of this formula in the dataset = 551 meV per atom
Calculated volume = 28.71 Å³/atom
DOS at the Fermi energy = 4.45 states/eV/f.u.
ΔE_f = 740 meV/atom

a b c (Å): 5.456 5.456 5.456
angles (deg): 60.00 60.00 60.00
Sites, in units of the cell vectors:
Sr 0.250 0.250 0.250
Sr 0.750 0.750 0.750
La 0.000 0.000 0.000
Os 0.500 0.500 0.500


[12]
A plane-wave DFT calculation with GGA-PBE was carried out for a relaxed structure of Sr2LaOs.

Results
Excess energy over the best structure of this formula in the dataset = 200 meV per atom
Calculated volume = 42.05 Å³/atom
DOS at the Fermi energy = 6.22 states/eV/f.u.
ΔE_f = 389 meV/atom

a b c (Å): 8.408 8.408 8.408
angles (deg): 95.66 95.66 143.41
Sites, in units of the cell vectors:
Sr 0.375 0.230 0.355
Sr 0.770 0.125 0.145
Sr 0.875 0.020 0.645
Sr 0.980 0.625 0.855
La 0.250 0.750 0.500
La 0.500 0.500 0.000
Os 0.000 0.000 0.000
Os 0.750 0.250 0.500


[13]
A plane-wave DFT calculation with GGA-PBE was carried out for a relaxed structure of Sr2LaOs.

Results
Excess energy over the best structure of this formula in the dataset = 407 meV per atom
Calculated volume = 29.00 Å³/atom
DOS at the Fermi energy = 4.97 states/eV/f.u.
ΔE_f = 596 meV/atom

a b c (Å): 6.444 6.444 6.444
angles (deg): 138.57 138.57 60.03
Sites, in units of the cell vectors:
Sr 0.250 0.750 0.500
Sr 0.750 0.250 0.500
La 0.000 0.000 0.000
Os 0.500 0.500 0.000


[14]
A plane-wave DFT calculation with GGA-PBE was carried out for a relaxed structure of Sr3LaOs.

Results
Excess energy over the best structure of this formula in the dataset = 0 meV per atom
Calculated volume = 39.45 Å³/atom
DOS at the Fermi energy = 7.29 states/eV/f.u.
ΔE_f = 595 meV/atom

a b c (Å): 5.821 5.821 5.821
angles (deg): 90.00 90.00 90.00
Sites, in units of the cell vectors:
Sr 0.000 0.000 0.500
Sr 0.000 0.500 0.000
Sr 0.500 0.000 0.000
La 0.500 0.500 0.500
Os 0.000 0.000 0.000


[15]
A plane-wave DFT calculation with GGA-PBE was carried out for a relaxed structure of SrLaOs.

Results
Excess energy over the best structure of this formula in the dataset = 92 meV per atom
Calculated volume = 35.13 Å³/atom
DOS at the Fermi energy = 2.20 states/eV/f.u.
ΔE_f = 284 meV/atom

a b c (Å): 4.392 4.392 6.310
angles (deg): 90.00 90.00 120.00
Sites, in units of the cell vectors:
Sr 0.000 0.000 0.000
La 0.667 0.333 0.551
Os 0.333 0.667 0.703


[16]
A plane-wave DFT calculation with GGA-PBE was carried out for a relaxed structure of Sr2LaOs.

Results
Excess energy over the best structure of this formula in the dataset = 337 meV per atom
Calculated volume = 28.39 Å³/atom
DOS at the Fermi energy = 3.48 states/eV/f.u.
ΔE_f = 526 meV/atom

a b c (Å): 5.434 5.434 5.434
angles (deg): 119.95 119.95 90.09
Sites, in units of the cell vectors:
Sr 0.000 0.000 0.000
Sr 0.750 0.250 0.500
La 0.500 0.500 0.000
Os 0.250 0.750 0.500


[17]
A plane-wave DFT calculation with GGA-PBE was carried out for a relaxed structure of SrLaOs2.

Results
Excess energy over the best structure of this formula in the dataset = 749 meV per atom
Calculated volume = 21.18 Å³/atom
DOS at the Fermi energy = 3.66 states/eV/f.u.
ΔE_f = 801 meV/atom

a b c (Å): 4.930 4.930 4.930
angles (deg): 60.00 60.00 60.00
Sites, in units of the cell vectors:
Sr 0.000 0.000 0.000
La 0.750 0.750 0.750
Os 0.250 0.250 0.250
Os 0.500 0.500 0.500


[18]
A plane-wave DFT calculation with GGA-PBE was carried out for a relaxed structure of SrLaOs2.

Results
Excess energy over the best structure of this formula in the dataset = 623 meV per atom
Calculated volume = 24.53 Å³/atom
DOS at the Fermi energy = 1.71 states/eV/f.u.
ΔE_f = 676 meV/atom

a b c (Å): 4.841 4.841 6.642
angles (deg): 96.95 96.95 39.45
Sites, in units of the cell vectors:
Sr 0.000 0.000 0.000
La 0.500 0.500 0.500
Os 0.252 0.252 0.670
Os 0.748 0.748 0.330


[19]
A plane-wave DFT calculation with GGA-PBE was carried out for a relaxed structure of SrLaOs2.

Results
Excess energy over the best structure of this formula in the dataset = 768 meV per atom
Calculated volume = 21.37 Å³/atom
DOS at the Fermi energy = 3.47 states/eV/f.u.
ΔE_f = 821 meV/atom

a b c (Å): 3.126 3.126 9.469
angles (deg): 90.00 90.00 112.52
Sites, in units of the cell vectors:
Sr 0.000 0.000 0.000
La 0.000 0.000 0.500
Os 0.500 0.500 0.261
Os 0.500 0.500 0.739


[20]
A plane-wave DFT calculation with GGA-PBE was carried out for a relaxed structure of SrLaOs.

Results
Excess energy over the best structure of this formula in the dataset = 0 meV per atom
Calculated volume = 31.00 Å³/atom
DOS at the Fermi energy = 2.87 states/eV/f.u.
ΔE_f = 192 meV/atom

a b c (Å): 7.680 7.680 7.680
angles (deg): 153.04 153.04 38.50
Sites, in units of the cell vectors:
Sr 0.000 0.000 0.000
La 0.761 0.761 0.000
Os 0.366 0.366 0.000